Version one
Here is a relaxed structure of KRh2Cl from Alexandria. Energies are from PBE-GGA.

Cell lengths 3.2811, 3.2811, 7.8383 Å; angles 90.00, 90.00, 90.00 degrees
Space group P4mm (No. 99)
One atom of each set of equivalent atoms:
K 0.0000 0.0000 0.0000 [1 per cell]
Rh 0.0000 0.0000 0.4835 [1 per cell]
Rh 0.5000 0.5000 0.3478 [1 per cell]
Cl 0.5000 0.5000 0.7569 [1 per cell]



Version two
Here is a relaxed structure of KRh2Cl from Alexandria. Energies are from PBE-GGA.

Cell lengths 6.7599, 6.7599, 6.7599 Å; angles 90.00, 90.00, 90.00 degrees
Space group F-43m (No. 216)
One atom of each set of equivalent atoms:
K 0.0000 0.0000 0.0000 [4 per cell]
Rh 0.0000 0.0000 0.5000 [4 per cell]
Rh 0.2500 0.2500 0.7500 [4 per cell]
Cl 0.2500 0.2500 0.2500 [4 per cell]



Least stable: version two



Version one
Here is a relaxed structure of KRh2Cl from Alexandria. Energies are from PBE-GGA.

Cell lengths 3.8064, 3.8064, 6.7376 Å; angles 90.00, 90.00, 90.00 degrees
Space group P4/mmm (No. 123)
One atom of each set of equivalent atoms:
K 0.0000 0.0000 0.0000 [1 per cell]
Rh 0.0000 0.5000 0.5000 [2 per cell]
Cl 0.5000 0.5000 0.0000 [1 per cell]



Version two
Here is a relaxed structure of KRh2Cl from Alexandria. Energies are from PBE-GGA.

Cell lengths 2.9599, 4.6575, 6.0693 Å; angles 90.00, 90.00, 90.00 degrees
Space group Pmmm (No. 47)
One atom of each set of equivalent atoms:
K 0.0000 0.0000 0.0000 [1 per cell]
Rh 0.0000 0.5000 0.5000 [1 per cell]
Rh 0.5000 0.0000 0.5000 [1 per cell]
Cl 0.5000 0.5000 0.0000 [1 per cell]



Least stable: version one